VASP calculation (PBE-GGA) on a relaxed structure of Tl2ZnHgIr.

```
Tl2ZnHgIr
1.0
5.3187 0.0000 0.0000
0.0000 5.3187 0.0000
0.0000 0.0000 4.9487
Tl Zn Hg Ir
2 1 1 1
Cartesian
0.0000 2.6594 0.0000 Tl
2.6594 0.0000 0.0000 Tl
0.0000 0.0000 2.4744 Zn
2.6594 2.6594 2.4744 Hg
0.0000 0.0000 0.0000 Ir
```

Computed properties:
The calculation puts the raw total energy at -14.78 eV for the cell shown. For the formation energy from the elements, the calculation gives 78.5 meV/atom. As for the crystal system: tetragonal. For the total magnetization, the calculation gives 0.000 μB/f.u.